1.
# Ba2CaCd4Hg3

A geometry-optimized Ba2CaCd4Hg3 structure (GGA-PBE, the Alexandria database).

Geometry as POSCAR:
```
Ba2CaCd4Hg3
1.0
-2.4866 -3.9972 0.6091
0.1324 -0.7951 -4.6778
11.6931 -7.0413 1.5279
Ba Ca Cd Hg
2 1 4 3
Cartesian
1.4329 -3.6101 0.6542 Ba
9.0832 -5.8274 -1.1607 Ba
4.6695 -5.9168 -1.2704 Ca
-1.1771 -2.3962 -2.0344 Cd
0.0000 0.0000 0.0000 Cd
6.3942 -6.5977 1.3025 Cd
4.1219 -2.8398 -1.8090 Cd
5.8466 -3.5207 0.7639 Hg
8.8975 -8.1051 1.6296 Hg
1.6186 -1.3324 -2.1360 Hg
```

Values from the calculation:
The magnetic moment comes out at 0.000 μB per atom. Its symmetry is P-4m2. The value obtained for the total energy is -1.379 eV/atom. Its formation energy is -338 meV/atom.


2.
# Ba2CaCd3Hg4

A geometry-optimized Ba2CaCd3Hg4 structure (GGA-PBE, the Alexandria database).

Geometry as POSCAR:
```
Ba2CaCd3Hg4
1.0
-2.9209 3.8226 -0.5286
-3.5335 -2.3829 2.2933
4.2401 4.8383 11.5605
Ba Ca Cd Hg
2 1 3 4
Cartesian
-0.4781 3.0322 2.4139 Ba
1.4910 2.5260 10.0290 Ba
-1.1072 3.1390 6.6626 Ca
2.1200 2.4192 5.7803 Cd
2.2249 6.1166 9.7838 Cd
-1.2120 -0.5584 2.6592 Cd
-3.2272 0.7199 0.8824 Hg
0.0000 0.0000 0.0000 Hg
1.2922 5.0524 7.2408 Hg
-0.2793 0.5059 5.2021 Hg
```

Values from the calculation:
The magnetic moment comes out at 0.000 μB per atom. Its symmetry is P-4m2. The value obtained for the total energy is -1.343 eV/atom. Its formation energy is -363 meV/atom.


3.
# Ba2CaCd12Hg3

A geometry-optimized Ba2CaCd12Hg3 structure (GGA-PBE, the Alexandria database).

Geometry as POSCAR:
```
Ba2CaCd12Hg3
1.0
8.7308 -1.0032 -0.7115
3.4394 8.0873 -0.7115
3.4394 2.0020 7.8678
Ba Ca Cd Hg
2 1 12 3
Cartesian
9.3959 5.4692 3.8792 Ba
6.2138 3.6169 2.5655 Ba
0.0000 0.0000 0.0000 Ca
6.5118 3.7904 6.0860 Cd
11.5664 6.7326 1.6025 Cd
8.9626 8.2115 5.8243 Cd
9.3000 2.2069 1.5654 Cd
11.5664 3.7381 5.8243 Cd
6.5118 6.9969 1.5654 Cd
9.0978 5.2957 0.3587 Cd
4.0432 2.3535 4.8422 Cd
6.6471 0.8747 0.6204 Cd
6.3097 6.8792 4.8793 Cd
4.0432 5.3480 0.6204 Cd
9.0978 2.0892 4.8793 Cd
4.3654 -0.5016 -0.3558 Hg
1.7197 4.0436 -0.3558 Hg
1.7197 1.0010 3.9339 Hg
```

Values from the calculation:
The magnetic moment comes out at 0.000 μB per atom. Its symmetry is R-3m. The value obtained for the total energy is -0.933 eV/atom. Its formation energy is 53 meV/atom.


4.
# BaCa2Cd2Hg2

A geometry-optimized BaCa2Cd2Hg2 structure (GGA-PBE, the Alexandria database).

Geometry as POSCAR:
```
BaCa2Cd2Hg2
1.0
5.1086 0.0000 0.0000
2.5543 4.4242 0.0000
2.5543 1.4747 9.8587
Ba Ca Cd Hg
1 2 2 2
Cartesian
0.0000 0.0000 0.0000 Ba
2.5543 1.4747 6.0296 Ca
7.6629 4.4242 3.8290 Ca
7.6629 4.4242 7.4099 Cd
2.5543 1.4747 2.4487 Cd
5.1086 2.9495 2.4221 Hg
5.1086 2.9495 7.4366 Hg
```

Values from the calculation:
The magnetic moment comes out at 0.000 μB per atom. Its symmetry is R-3m. The value obtained for the total energy is -1.548 eV/atom. Its formation energy is -353 meV/atom.


5.
# BaCaCd2I8

A geometry-optimized BaCaCd2I8 structure (GGA-PBE, the Alexandria database).

Geometry as POSCAR:
```
BaCaCd2I8
1.0
-6.6384 2.1609 3.0106
1.2895 -7.3439 -1.4850
4.0281 -1.2736 9.7961
Ba Ca Cd I
1 1 2 8
Cartesian
0.0000 0.0000 0.0000 Ba
2.0140 -0.6368 4.8980 Ca
-2.9769 -1.3295 3.9899 Cd
1.6561 -5.1271 7.3317 Cd
-1.3176 -4.1869 0.0997 I
-0.3213 -2.1071 3.4327 I
-2.0085 -6.0953 3.6079 I
-0.0032 -2.2698 11.2219 I
0.6877 -0.3614 7.7137 I
-0.9995 -4.3496 7.8889 I
-3.3093 -0.9565 9.2799 I
1.9885 -5.5002 2.0417 I
```

Values from the calculation:
The magnetic moment comes out at 0.000 μB per atom. The raw formation energy comes out at -1.047 eV/atom. Its symmetry is P-3. The value obtained for the total energy is -2.559 eV/atom.


6.
# BaCa2Cd4In

A geometry-optimized BaCa2Cd4In structure (GGA-PBE, the Alexandria database).

Geometry as POSCAR:
```
BaCa2Cd4In
1.0
-3.3256 -1.6960 3.6483
1.6958 -0.9273 4.8488
-2.7867 9.4662 5.5946
Ba Ca Cd In
1 2 4 1
Cartesian
0.0000 0.0000 0.0000 Ba
-3.0501 3.9234 10.2458 Ca
-1.3664 2.9195 3.8458 Ca
-2.8509 6.3839 7.8371 Cd
-2.3476 0.6853 9.3809 Cd
-2.0689 6.1576 4.7108 Cd
-1.5656 0.4590 6.2545 Cd
-2.2082 3.4215 7.0458 In
```

Values from the calculation:
The magnetic moment comes out at 0.000 μB per atom. Its symmetry is R-3m. The value obtained for the total energy is -1.815 eV/atom. Its formation energy is -275 meV/atom.


7.
# BaCa2Cd2In2

A geometry-optimized BaCa2Cd2In2 structure (GGA-PBE, the Alexandria database).

Geometry as POSCAR:
```
BaCa2Cd2In2
1.0
5.0875 0.0000 0.0000
2.5438 4.4059 0.0000
2.5438 1.4686 10.1532
Ba Ca Cd In
1 2 2 2
Cartesian
0.0000 0.0000 0.0000 Ba
2.5438 1.4686 6.1566 Ca
7.6313 4.4059 3.9966 Ca
5.0875 2.9373 2.4672 Cd
5.0875 2.9373 7.6861 Cd
7.6313 4.4059 7.5817 In
2.5438 1.4686 2.5715 In
```

Values from the calculation:
The magnetic moment comes out at 0.000 μB per atom. Its symmetry is R-3m. The value obtained for the total energy is -2.262 eV/atom. Its formation energy is -372 meV/atom.


8.
# Ba2CaCd6In

A geometry-optimized Ba2CaCd6In structure (GGA-PBE, the Alexandria database).

Geometry as POSCAR:
```
Ba2CaCd6In
1.0
-7.9950 -0.2910 1.3501
1.0568 -6.3952 4.8798
-2.8405 0.1814 7.5979
Ba Ca Cd In
2 1 6 1
Cartesian
-2.6264 -4.7785 7.7963 Ba
-7.1523 -1.7264 6.0314 Ba
-3.4691 -3.3431 3.1149 Ca
-1.1483 -4.9083 4.0199 Cd
-8.0885 -4.8761 12.3100 Cd
-3.1468 -1.5358 5.4137 Cd
-5.7900 -1.7780 2.2099 Cd
-1.6902 -1.6289 1.5177 Cd
-6.6320 -4.9691 8.4140 Cd
0.0000 0.0000 0.0000 In
```

Values from the calculation:
The magnetic moment comes out at 0.000 μB per atom. Its symmetry is Fm-3m. The value obtained for the total energy is -1.399 eV/atom. Its formation energy is 9 meV/atom.


9.
# BaCa2CdIr

A geometry-optimized BaCa2CdIr structure (GGA-PBE, the Alexandria database).

Geometry as POSCAR:
```
BaCa2CdIr
1.0
-3.6785 0.2126 4.1277
4.0816 -0.6830 3.6727
0.7128 6.0106 0.3256
Ca Ir Ba Cd
2 1 1 1
Cartesian
2.0408 -0.3415 1.8363 Ca
-1.8393 0.1063 2.0638 Ca
0.0000 0.0000 0.0000 Ir
0.3564 3.0053 0.1628 Ba
0.5579 2.7701 4.0630 Cd
```

Values from the calculation:
The magnetic moment comes out at 0.000 μB per atom. Its symmetry is P4/mmm. The value obtained for the total energy is -3.317 eV/atom. Its formation energy is -176 meV/atom.


10.
# BaCa2CdIr

A geometry-optimized BaCa2CdIr structure (GGA-PBE, the Alexandria database).

Geometry as POSCAR:
```
BaCa2CdIr
1.0
-4.1018 3.2656 1.7160
0.0490 -2.5177 4.9084
3.6749 3.6512 1.8361
Ca Ir Ba Cd
2 1 1 1
Cartesian
0.0245 -1.2589 2.4542 Ca
-2.0509 1.6328 0.8580 Ca
0.0000 0.0000 0.0000 Ir
-0.1889 2.1995 4.2303 Ba
1.8375 1.8256 0.9181 Cd
```

Values from the calculation:
The magnetic moment comes out at 0.000 μB per atom. Its symmetry is P4/mmm. The value obtained for the total energy is -3.310 eV/atom. Its formation energy is -169 meV/atom.


11.
# KBaCaCd

A geometry-optimized KBaCaCd structure (GGA-PBE, the Alexandria database).

Geometry as POSCAR:
```
KBaCaCd
1.0
6.1430 0.0000 0.0000
3.0715 5.3200 0.0000
3.0715 1.7733 5.0157
K Ca Ba Cd
1 1 1 1
Cartesian
9.2145 5.3200 3.7618 K
0.0000 0.0000 0.0000 Ca
6.1430 3.5466 2.5079 Ba
3.0715 1.7733 1.2539 Cd
```

Values from the calculation:
The magnetic moment comes out at 0.001 μB per atom. Its symmetry is F-43m. The value obtained for the total energy is -1.468 eV/atom. Its formation energy is 16 meV/atom.


12.
# BaCaLaCd

A geometry-optimized BaCaLaCd structure (GGA-PBE, the Alexandria database).

Geometry as POSCAR:
```
BaCaLaCd
1.0
-1.9123 4.8238 -2.9966
-5.7615 0.4547 -1.5823
-3.5445 3.9999 2.7098
Ca Cd Ba La
1 1 1 1
Cartesian
-5.6092 4.6392 -0.9346 Ca
0.0000 0.0000 0.0000 Cd
-8.4138 6.9588 -1.4019 Ba
-2.8046 2.3196 -0.4673 La
```

Values from the calculation:
The magnetic moment comes out at 0.000 μB per atom. Its symmetry is F-43m. The value obtained for the total energy is -2.436 eV/atom. Its formation energy is 5 meV/atom.


Copy entry 7 word for word.
# BaCa2Cd2In2

A geometry-optimized BaCa2Cd2In2 structure (GGA-PBE, the Alexandria database).

Geometry as POSCAR:
```
BaCa2Cd2In2
1.0
5.0875 0.0000 0.0000
2.5438 4.4059 0.0000
2.5438 1.4686 10.1532
Ba Ca Cd In
1 2 2 2
Cartesian
0.0000 0.0000 0.0000 Ba
2.5438 1.4686 6.1566 Ca
7.6313 4.4059 3.9966 Ca
5.0875 2.9373 2.4672 Cd
5.0875 2.9373 7.6861 Cd
7.6313 4.4059 7.5817 In
2.5438 1.4686 2.5715 In
```

Values from the calculation:
The magnetic moment comes out at 0.000 μB per atom. Its symmetry is R-3m. The value obtained for the total energy is -2.262 eV/atom. Its formation energy is -372 meV/atom.